Entry 1:
# ScHgPd (PBE, optimized geometry)
data_ScHgPd
_chemical_formula_sum 'Sc1 Hg1 Pd1'
_cell_length_a 3.0762
_cell_length_b 4.6865
_cell_length_c 4.6865
_cell_angle_alpha 120.00
_cell_angle_beta 90.00
_cell_angle_gamma 90.00
_symmetry_space_group_name_H-M 'P 1'
_symmetry_Int_Tables_number 1
loop_
_symmetry_equiv_pos_as_xyz
'x,y,z'
loop_
_atom_site_label
_atom_site_type_symbol
_atom_site_fract_x
_atom_site_fract_y
_atom_site_fract_z
Pd1 Pd 0.1665 0.3333 0.6667
Hg1 Hg 0.1667 0.0000 0.0000
Sc1 Sc 0.6668 0.6667 0.3333
# mass density: 9.99 Mg/m³
# DOS(E_F): 2.62 states/eV/f.u.
# total magnetic moment: 0.00 μB/f.u.
# V: 59 Å³ per cell
# ΔE_f: -0.485 eV per atom

Entry 2:
# Sc6HgPd5 (PBE, optimized geometry)
data_Sc6HgPd5
_chemical_formula_sum 'Sc6 Hg1 Pd5'
_cell_length_a 4.7289
_cell_length_b 6.7120
_cell_length_c 7.4922
_cell_angle_alpha 90.00
_cell_angle_beta 108.81
_cell_angle_gamma 90.00
_symmetry_space_group_name_H-M 'P 1'
_symmetry_Int_Tables_number 1
loop_
_symmetry_equiv_pos_as_xyz
'x,y,z'
loop_
_atom_site_label
_atom_site_type_symbol
_atom_site_fract_x
_atom_site_fract_y
_atom_site_fract_z
Sc1 Sc 0.8308 0.7459 0.6595
Sc2 Sc 0.5000 0.7401 0.0000
Sc3 Sc 0.8308 0.2541 0.6595
Sc4 Sc 0.5000 0.2599 0.0000
Sc5 Sc 0.1692 0.7459 0.3405
Sc6 Sc 0.1692 0.2541 0.3405
Pd1 Pd 0.3333 0.0000 0.6654
Pd2 Pd 0.6667 0.0000 0.3346
Pd3 Pd 0.6625 0.5000 0.3304
Pd4 Pd 0.0000 0.5000 0.0000
Pd5 Pd 0.3375 0.5000 0.6696
Hg1 Hg 0.0000 0.0000 0.0000
# mass density: 7.39 Mg/m³
# DOS(E_F): 8.85 states/eV/f.u.
# total magnetic moment: 0.00 μB/f.u.
# V: 225 Å³ per cell
# ΔE_f: -0.802 eV per atom

Entry 3:
# Sc2Hg2Pd (PBE, optimized geometry)
data_Sc2Hg2Pd
_chemical_formula_sum 'Sc4 Hg4 Pd2'
_cell_length_a 7.4997
_cell_length_b 7.4997
_cell_length_c 3.7425
_cell_angle_alpha 90.00
_cell_angle_beta 90.00
_cell_angle_gamma 90.00
_symmetry_space_group_name_H-M 'P 1'
_symmetry_Int_Tables_number 1
loop_
_symmetry_equiv_pos_as_xyz
'x,y,z'
loop_
_atom_site_label
_atom_site_type_symbol
_atom_site_fract_x
_atom_site_fract_y
_atom_site_fract_z
Sc1 Sc 0.6669 0.8331 0.5000
Sc2 Sc 0.1669 0.6669 0.5000
Sc3 Sc 0.8331 0.3331 0.5000
Sc4 Sc 0.3331 0.1669 0.5000
Hg1 Hg 0.1375 0.3625 0.0000
Hg2 Hg 0.8625 0.6375 0.0000
Hg3 Hg 0.3625 0.8625 0.0000
Hg4 Hg 0.6375 0.1375 0.0000
Pd1 Pd 0.5000 0.5000 0.0000
Pd2 Pd 0.0000 0.0000 0.0000
# polymorph energy (0 for the lowest one): 104.3 meV/atom
# mass density: 9.43 Mg/m³
# DOS(E_F): 2.58 states/eV/f.u.
# total magnetic moment: 0.00 μB/f.u.
# V: 210 Å³ per cell
# ΔE_f: -0.374 eV per atom